Ce3Nd2Hg6 GGA-PBE optimized geometry; SG = I4/mmm; final energy = -29.06 eV per cell; DFT formation energy = 8 kJ/mol of formula units; magnetization = 4.223 Bohr magnetons per cell
1.0
-2.563 2.563 14.048
2.563 -2.563 14.048
2.563 2.563 -14.048
Ce Nd Hg
3 2 6
direct
0.000 0.000 0.000
0.138 0.138 0.000
0.862 0.862 0.000
0.367 0.367 0.000
0.633 0.633 0.000
0.067 0.567 0.500
0.253 0.253 0.000
0.433 0.933 0.500
0.567 0.067 0.500
0.747 0.747 0.000
0.933 0.433 0.500